No. 1
First-principles (GGA-PBE) data for a relaxed structure of DyErTm2N4, as listed in Alexandria via LeMat-Bulk.

```
DyErTm2N4
1.0
3.427 0.000 0.000
0.000 5.934 0.105
0.000 -2.075 5.560
N Er Tm Dy
4 1 2 1
Direct
0.500 0.250 0.252
0.500 0.750 0.748
0.000 0.752 0.253
0.000 0.248 0.747
0.000 0.000 0.000
0.500 0.000 0.500
0.000 0.500 0.500
0.500 0.500 0.000
```

## Properties
SG ... No. 10
Crystal system ... monoclinic
Size of the total moment ... 0.000 μB/atom
Uncorrected formation energy ... -1784 meV per atom


No. 2
First-principles (GGA-PBE) data for a relaxed structure of Dy2ErUN4, as listed in Alexandria via LeMat-Bulk.

```
Dy2ErUN4
1.0
-2.236 -0.074 -2.627
-3.281 -4.030 2.906
-1.895 5.464 1.460
U N Er Dy
1 4 1 2
Direct
0.000 0.000 0.000
0.500 0.759 0.762
0.000 0.240 0.765
0.000 0.760 0.235
0.500 0.241 0.238
0.500 0.500 0.000
0.000 0.500 0.500
0.500 0.000 0.500
```

## Properties
SG ... No. 10
Crystal system ... monoclinic
Size of the total moment ... 0.183 μB/atom
Uncorrected formation energy ... -1642 meV per atom


No. 3
First-principles (GGA-PBE) data for a relaxed structure of Dy3Er2UN6, as listed in Alexandria via LeMat-Bulk.

```
Dy3Er2UN6
1.0
-3.688 3.840 2.678
-1.196 -1.928 -5.511
-1.302 -4.940 3.083
Dy N U Er
3 6 1 2
Direct
0.500 0.500 0.500
0.168 0.832 0.500
0.832 0.168 0.500
0.080 0.398 0.239
0.920 0.602 0.761
0.761 0.761 0.236
0.239 0.239 0.764
0.602 0.920 0.761
0.398 0.080 0.239
0.000 0.000 0.000
0.666 0.334 0.000
0.334 0.666 0.000
```

## Properties
SG ... No. 12
Crystal system ... monoclinic
Size of the total moment ... 0.068 μB/atom
Uncorrected formation energy ... -1701 meV per atom


No. 4
First-principles (GGA-PBE) data for a relaxed structure of DyEr2UN4, as listed in Alexandria via LeMat-Bulk.

```
DyEr2UN4
1.0
3.438 0.000 0.000
0.000 5.948 0.128
0.000 -2.057 5.574
N U Er Dy
4 1 2 1
Direct
0.500 0.242 0.245
0.000 0.237 0.758
0.500 0.758 0.755
0.000 0.763 0.242
0.000 0.000 0.000
0.000 0.500 0.500
0.500 0.000 0.500
0.500 0.500 0.000
```

## Properties
SG ... No. 10
Crystal system ... monoclinic
Size of the total moment ... 0.195 μB/atom
Uncorrected formation energy ... -1650 meV per atom


No. 5
First-principles (GGA-PBE) data for a relaxed structure of DyY2ErN4, as listed in Alexandria via LeMat-Bulk.

```
DyY2ErN4
1.0
3.465 0.000 0.000
0.000 5.999 0.106
0.000 -2.098 5.622
N Er Dy Y
4 1 1 2
Direct
0.000 0.751 0.248
0.500 0.752 0.753
0.000 0.249 0.752
0.500 0.248 0.247
0.000 0.000 0.000
0.500 0.500 0.000
0.000 0.500 0.500
0.500 0.000 0.500
```

## Properties
SG ... No. 10
Crystal system ... monoclinic
Size of the total moment ... 0.000 μB/atom
Uncorrected formation energy ... -1718 meV per atom


No. 6
First-principles (GGA-PBE) data for a relaxed structure of Dy2YErN4, as listed in Alexandria via LeMat-Bulk.

```
Dy2YErN4
1.0
-0.423 3.349 0.777
-5.738 -0.326 -1.716
0.416 -1.303 5.840
Y Dy N Er
1 2 4 1
Direct
0.500 0.500 0.000
0.000 0.500 0.500
0.500 0.000 0.500
0.000 0.751 0.250
0.500 0.752 0.752
0.000 0.249 0.750
0.500 0.248 0.248
0.000 0.000 0.000
```

## Properties
SG ... No. 10
Crystal system ... monoclinic
Size of the total moment ... 0.000 μB/atom
Uncorrected formation energy ... -1721 meV per atom


No. 7
First-principles (GGA-PBE) data for a relaxed structure of Dy3ErZr2N6, as listed in Alexandria via LeMat-Bulk.

```
Dy3ErZr2N6
1.0
3.377 0.000 0.000
0.000 6.780 0.228
-1.689 -1.968 7.109
N Zr Dy Er
6 2 3 1
Direct
0.994 0.749 0.988
0.333 0.903 0.666
0.329 0.426 0.658
0.667 0.097 0.334
0.671 0.574 0.342
0.006 0.251 0.012
0.167 0.334 0.334
0.833 0.666 0.666
0.500 0.500 0.000
0.167 0.833 0.333
0.833 0.167 0.667
0.500 0.000 0.000
```

## Properties
SG ... No. 12
Crystal system ... monoclinic
Size of the total moment ... 0.000 μB/atom
Uncorrected formation energy ... -1743 meV per atom


No. 8
First-principles (GGA-PBE) data for a relaxed structure of Dy2ErZrN4, as listed in Alexandria via LeMat-Bulk.

```
Dy2ErZrN4
1.0
3.392 0.000 0.000
0.000 5.879 0.111
0.000 -2.048 5.521
Zr Dy N Er
1 2 4 1
Direct
0.000 0.000 0.000
0.000 0.500 0.500
0.500 0.000 0.500
0.000 0.245 0.760
0.500 0.761 0.764
0.000 0.755 0.240
0.500 0.239 0.236
0.500 0.500 0.000
```

## Properties
SG ... No. 10
Crystal system ... monoclinic
Size of the total moment ... 0.000 μB/atom
Uncorrected formation energy ... -1753 meV per atom